No. 1
Density functional theory data (PBE) for an optimized crystal structure of ScTlHg2.

Cell lengths 5.7291, 5.7291, 5.7291 Å; angles 134.20, 134.20, 66.78 degrees
Closest atoms and distances in Å follow each position.
Fractional coordinates of all 4 atoms:
Hg 0.0000 0.0000 0.0000  4 Sc 3.15, 4 Hg 3.27, 4 Tl 3.27
Hg 0.2500 0.7500 0.5000  4 Tl 3.15, 4 Hg 3.27, 4 Sc 3.27
Sc 0.5000 0.5000 0.0000  8 Hg 3.15-3.27, 4 Tl 3.27
Tl 0.7500 0.2500 0.5000  8 Hg 3.15-3.27, 4 Sc 3.27

Properties
- energy (eV per formula unit) = -9.7
- formation enthalpy at 0 K (meV per atom) = -98
- space group = I-4m2, No. 119

=====

No. 2
Density functional theory data (PBE) for an optimized crystal structure of BeOsBr2.

Cell lengths 3.2979, 3.2979, 7.8324 Å; angles 90.00, 90.00, 124.14 degrees
Closest atoms and distances in Å follow each position.
Fractional coordinates of all 4 atoms:
Be 0.5000 0.5000 0.7500  4 Br 2.27
Os 0.5000 0.5000 0.2500  4 Br 2.73
Br 0.0000 0.0000 0.9632  2 Be 2.27
Br 0.0000 0.0000 0.5369  2 Be 2.27

Properties
- energy (eV per formula unit) = -14.0
- E_form (uncorrected) (eV/atom) = 1.069
- ΔE to the lowest computed polymorph (kJ/mol of atoms) = 85.63
- space group = Cmmm, No. 65

=====

No. 3
Density functional theory data (PBE) for an optimized crystal structure of RbZn2Sn2.

Cell lengths 8.9740, 8.9740, 3.2832 Å; angles 90.00, 90.00, 90.00 degrees
Closest atoms and distances in Å follow each position.
Fractional coordinates of all 10 atoms:
Zn 0.1493 0.6493 0.5000  6 Sn 3.04-3.18, 2 Zn 3.28
Zn 0.6493 0.8507 0.5000  6 Sn 3.04-3.18, 2 Zn 3.28
Zn 0.8507 0.3507 0.5000  6 Sn 3.04-3.18, 2 Zn 3.28
Zn 0.3507 0.1493 0.5000  6 Sn 3.04-3.18, 2 Zn 3.28
Sn 0.3643 0.8643 0.0000  6 Zn 3.04-3.18, 2 Sn 3.28
Sn 0.8643 0.6357 0.0000  6 Zn 3.04-3.18, 2 Sn 3.28
Sn 0.6357 0.1357 0.0000  6 Zn 3.04-3.18, 2 Sn 3.28
Sn 0.1357 0.3643 0.0000  6 Zn 3.04-3.18, 2 Sn 3.28
Rb 0.0000 0.0000 0.0000  2 Rb 3.28, 4 Sn 3.49
Rb 0.5000 0.5000 0.0000  2 Rb 3.28, 4 Sn 3.49

Properties
- energy (eV per formula unit) = -11.1
- formation enthalpy at 0 K (meV per atom) = 75
- ΔE to the lowest computed polymorph (kJ/mol of atoms) = 16.30
- space group = P4/mbm, No. 127

=====

No. 4
Density functional theory data (PBE) for an optimized crystal structure of Sc2NbAl.

Cell lengths 4.3007, 4.2678, 4.2678 Å; angles 90.00, 90.00, 90.00 degrees
Closest atoms and distances in Å follow each position.
Fractional coordinates of all 4 atoms:
Sc 0.0000 0.0000 0.5000  4 Sc 3.02, 4 Nb 3.03, 4 Al 3.03
Sc 0.0000 0.5000 0.0000  4 Sc 3.02, 4 Nb 3.03, 4 Al 3.03
Nb 0.5000 0.5000 0.5000  4 Al 3.02, 8 Sc 3.03
Al 0.5000 0.0000 0.0000  4 Nb 3.02, 8 Sc 3.03

Properties
- energy (eV per formula unit) = -27.2
- formation enthalpy at 0 K (meV per atom) = -175
- space group = P4/mmm, No. 123

=====

No. 5
Density functional theory data (PBE) for an optimized crystal structure of Sr2ZnGaRh2.

Cell lengths 6.2125, 6.2219, 8.3934 Å; angles 111.76, 111.72, 90.00 degrees
Closest atoms and distances in Å follow each position.
Fractional coordinates of all 12 atoms:
Sr 0.4142 0.1680 0.3360  2 Zn 3.24, 5 Rh 3.25-3.41, 2 Ga 3.27
Sr 0.5858 0.8320 0.6640  2 Zn 3.24, 5 Rh 3.25-3.41, 2 Ga 3.27
Sr 0.0782 0.3320 0.6640  2 Zn 3.24, 5 Rh 3.25-3.41, 2 Ga 3.27
Sr 0.9218 0.6680 0.3360  2 Zn 3.24, 5 Rh 3.25-3.41, 2 Ga 3.27
Zn 0.0000 0.7500 0.0000  4 Rh 2.61
Zn 0.0000 0.2500 0.0000  4 Rh 2.61
Ga 0.5000 0.7500 0.0000  4 Rh 2.53
Ga 0.5000 0.2500 0.0000  4 Rh 2.53
Rh 0.8327 0.0933 0.1866  2 Ga 2.53, 2 Zn 2.61
Rh 0.3539 0.5933 0.1866  2 Ga 2.53, 2 Zn 2.61
Rh 0.6461 0.4067 0.8134  2 Ga 2.53, 2 Zn 2.61
Rh 0.1673 0.9067 0.8134  2 Ga 2.53, 2 Zn 2.61

Properties
- energy (eV per formula unit) = -25.1
- formation enthalpy at 0 K (meV per atom) = -456
- space group = Ibam, No. 72

=====

No. 6
Density functional theory data (PBE) for an optimized crystal structure of Ce2In8Hg.

Cell lengths 4.8269, 4.8269, 12.6018 Å; angles 90.00, 90.00, 90.00 degrees
Closest atoms and distances in Å follow each position.
Fractional coordinates of all 11 atoms:
Ce 0.0000 0.0000 0.3168  12 In 3.29-3.41
Ce 0.0000 0.0000 0.6832  12 In 3.29-3.41
In 0.0000 0.5000 0.5000  8 In 3.31-3.41, 4 Ce 3.34
In 0.5000 0.0000 0.5000  8 In 3.31-3.41, 4 Ce 3.34
In 0.5000 0.5000 0.3199  8 In 3.31-3.32, 4 Ce 3.41
In 0.5000 0.5000 0.6801  8 In 3.31-3.32, 4 Ce 3.41
In 0.0000 0.5000 0.1390  2 Hg 2.98, 2 Ce 3.29, 2 In 3.32
In 0.5000 0.0000 0.1390  2 Hg 2.98, 2 Ce 3.29, 2 In 3.32
In 0.0000 0.5000 0.8610  2 Hg 2.98, 2 Ce 3.29, 2 In 3.32
In 0.5000 0.0000 0.8610  2 Hg 2.98, 2 Ce 3.29, 2 In 3.32
Hg 0.0000 0.0000 0.0000  8 In 2.98

Properties
- energy (eV per formula unit) = -36.9
- formation enthalpy at 0 K (meV per atom) = -254
- space group = P4/mmm, No. 123

=====

No. 7
Density functional theory data (PBE) for an optimized crystal structure of Cs2HgBr6Cl.

Cell lengths 7.9411, 7.9411, 8.1337 Å; angles 60.78, 60.78, 90.00 degrees
Closest atoms and distances in Å follow each position.
Fractional coordinates of all 10 atoms:
Cs 0.7500 0.2500 0.5000  12 Br 3.99-4.07
Cs 0.2500 0.7500 0.5000  12 Br 3.99-4.07
Hg 0.0000 0.0000 0.0000  6 Br 2.58-2.85
Br 0.2194 0.2194 0.5611  1 Hg 2.58
Br 0.7806 0.7806 0.4389  1 Hg 2.58
Br 0.2542 0.2542 0.0000  1 Cl 2.76, 1 Hg 2.85
Br 0.7458 0.7458 0.0000  1 Cl 2.76, 1 Hg 2.85
Br 0.7458 0.2542 0.0000  1 Cl 2.76, 1 Hg 2.85
Br 0.2542 0.7458 0.0000  1 Cl 2.76, 1 Hg 2.85
Cl 0.5000 0.5000 0.0000  4 Br 2.76

Properties
- energy (eV per formula unit) = -21.6
- E_form (uncorrected) (eV/atom) = -0.767
- space group = I4/mmm, No. 139

=====

No. 8
Density functional theory data (PBE) for an optimized crystal structure of LaP2Ru.

Cell lengths 3.9994, 4.3790, 4.6741 Å; angles 82.99, 90.00, 90.00 degrees
Closest atoms and distances in Å follow each position.
Fractional coordinates of all 4 atoms:
La 0.5000 0.7500 0.7500  2 Ru 3.00, 8 P 3.05-3.29
P 0.0000 0.1788 0.9895  1 P 2.25, 2 Ru 2.38
P 0.0000 0.3212 0.5105  1 P 2.25, 2 Ru 2.38
Ru 0.5000 0.2500 0.2500  4 P 2.38

Properties
- energy (eV per formula unit) = -28.4
- formation enthalpy at 0 K (meV per atom) = -853
- ΔE to the lowest computed polymorph (kJ/mol of atoms) = 12.88
- space group = P2/m, No. 10

=====

No. 9
Density functional theory data (PBE) for an optimized crystal structure of SrLa3B.

Cell lengths 5.7490, 5.7490, 5.7490 Å; angles 90.00, 90.00, 90.00 degrees
Closest atoms and distances in Å follow each position.
Fractional coordinates of all 5 atoms:
Sr 0.0000 0.0000 0.0000  6 La 2.87
B 0.5000 0.5000 0.5000  12 La 4.07
La 0.0000 0.5000 0.0000  2 Sr 2.87
La 0.0000 0.0000 0.5000  2 Sr 2.87
La 0.5000 0.0000 0.0000  2 Sr 2.87

Properties
- energy (eV per formula unit) = -14.1
- formation enthalpy at 0 K (meV per atom) = 1815
- ΔE to the lowest computed polymorph (kJ/mol of atoms) = 160.26
- space group = Pm-3m, No. 221

=====

No. 10
Density functional theory data (PBE) for an optimized crystal structure of Tb6Ho3Cd.

Cell lengths 9.3099, 9.7707, 9.7707 Å; angles 135.60, 90.00, 90.00 degrees
Closest atoms and distances in Å follow each position.
Fractional coordinates of all 20 atoms:
Tb 0.0880 0.8310 0.6942  5 Tb 3.23-3.51, 3 Ho 3.32-3.60, 1 Cd 3.32
Tb 0.5880 0.6942 0.8310  5 Tb 3.23-3.51, 3 Ho 3.32-3.60, 1 Cd 3.32
Tb 0.3134 0.5412 0.9350  2 Cd 3.14-3.18, 5 Tb 3.15-3.52, 1 Ho 3.37
Tb 0.8134 0.9350 0.5412  2 Cd 3.14-3.18, 5 Tb 3.15-3.52, 1 Ho 3.37
Tb 0.2812 0.9551 0.0449  6 Tb 3.24-3.38
Tb 0.6170 0.2897 0.7103  6 Tb 3.15-3.34
Tb 0.1170 0.7103 0.2897  6 Tb 3.15-3.34
Tb 0.7812 0.0449 0.9551  6 Tb 3.24-3.38
Tb 0.3134 0.0650 0.4588  2 Cd 3.14-3.18, 5 Tb 3.15-3.52, 1 Ho 3.37
Tb 0.8134 0.4588 0.0650  2 Cd 3.14-3.18, 5 Tb 3.15-3.52, 1 Ho 3.37
Tb 0.0880 0.3058 0.1690  5 Tb 3.23-3.51, 3 Ho 3.32-3.60, 1 Cd 3.32
Tb 0.5880 0.1690 0.3058  5 Tb 3.23-3.51, 3 Ho 3.32-3.60, 1 Cd 3.32
Ho 0.4605 0.8685 0.6270  1 Cd 3.52, 7 Tb 3.56-3.90, 4 Ho 3.66-3.87
Ho 0.9605 0.6270 0.8685  1 Cd 3.52, 7 Tb 3.56-3.90, 4 Ho 3.66-3.87
Ho 0.2895 0.4618 0.5382  8 Tb 3.32-3.69
Ho 0.7895 0.5382 0.4618  8 Tb 3.32-3.69
Ho 0.9605 0.1315 0.3730  1 Cd 3.52, 7 Tb 3.56-3.90, 4 Ho 3.66-3.87
Ho 0.4605 0.3730 0.1315  1 Cd 3.52, 7 Tb 3.56-3.90, 4 Ho 3.66-3.87
Cd 0.0741 0.2238 0.7762  6 Tb 3.14-3.32, 2 Ho 3.52
Cd 0.5741 0.7762 0.2238  6 Tb 3.14-3.32, 2 Ho 3.52

Properties
- energy (eV per formula unit) = -41.7
- formation enthalpy at 0 K (meV per atom) = 74
- ΔE to the lowest computed polymorph (kJ/mol of atoms) = 8.97
- space group = Cmc2_1, No. 36

=====

No. 11
Density functional theory data (PBE) for an optimized crystal structure of Er2ThIr.

Cell lengths 6.4102, 7.1583, 9.5442 Å; angles 90.00, 90.00, 90.00 degrees
Closest atoms and distances in Å follow each position.
Fractional coordinates of all 16 atoms:
Er 0.1659 0.6768 0.0657  2 Ir 2.88
Er 0.3341 0.1768 0.4343  2 Ir 2.88
Er 0.8341 0.3232 0.5657  2 Ir 2.88
Er 0.6659 0.8232 0.9343  2 Ir 2.88
Er 0.8341 0.3232 0.9343  2 Ir 2.88
Er 0.6659 0.8232 0.5657  2 Ir 2.88
Er 0.1659 0.6768 0.4343  2 Ir 2.88
Er 0.3341 0.1768 0.0657  2 Ir 2.88
Th 0.6505 0.5383 0.2500  2 Ir 2.74-2.85
Th 0.8495 0.0383 0.2500  2 Ir 2.74-2.85
Th 0.3495 0.4617 0.7500  2 Ir 2.74-2.85
Th 0.1505 0.9617 0.7500  2 Ir 2.74-2.85
Ir 0.0550 0.3743 0.2500  2 Th 2.74-2.85, 4 Er 2.88
Ir 0.4450 0.8743 0.2500  2 Th 2.74-2.85, 4 Er 2.88
Ir 0.9450 0.6257 0.7500  2 Th 2.74-2.85, 4 Er 2.88
Ir 0.5550 0.1257 0.7500  2 Th 2.74-2.85, 4 Er 2.88

Properties
- energy (eV per formula unit) = -27.7
- formation enthalpy at 0 K (meV per atom) = -577
- ΔE to the lowest computed polymorph (kJ/mol of atoms) = 0.00
- space group = Pnma, No. 62

=====

No. 12
Density functional theory data (PBE) for an optimized crystal structure of Nd2GePd.

Cell lengths 3.5962, 3.5962, 7.5416 Å; angles 90.00, 90.00, 90.00 degrees
Closest atoms and distances in Å follow each position.
Fractional coordinates of all 4 atoms:
Ge 0.5000 0.5000 0.5000  8 Nd 3.19
Nd 0.0000 0.0000 0.7544  4 Pd 3.15, 4 Ge 3.19
Nd 0.0000 0.0000 0.2456  4 Pd 3.15, 4 Ge 3.19
Pd 0.5000 0.5000 0.0000  8 Nd 3.15

Properties
- energy (eV per formula unit) = -22.1
- formation enthalpy at 0 K (meV per atom) = -697
- space group = P4/mmm, No. 123